Entry 1:
# CoHgH GGA-PBE relaxed
# Crystal system ... monoclinic
# Size of the total moment ... 5.309 μB per cell
# Uncorrected energy ... -3.406 eV/atom
data_CoHgH
_cell_length_a 16.206
_cell_length_b 2.850
_cell_length_c 3.600
_cell_angle_alpha 90.00
_cell_angle_beta 90.23
_cell_angle_gamma 90.00
_symmetry_space_group_name_H-M 'C 1 2/m 1'
_symmetry_Int_Tables_number 12
loop_
_symmetry_equiv_pos_as_xyz
'x,y,z'
'-x,-y,-z'
'-x,y,-z'
'x,-y,z'
'x+1/2,y+1/2,z'
'-x+1/2,-y+1/2,-z'
'-x+1/2,y+1/2,-z'
'x+1/2,-y+1/2,z'
loop_
_atom_site_label
_atom_site_type_symbol
_atom_site_fract_x
_atom_site_fract_y
_atom_site_fract_z
_atom_site_occupancy
Co1 Co 0.223 0.000 0.250 1
Hg1 Hg 0.077 0.500 0.253 1
H1 H 0.216 0.000 0.750 1



Entry 2:
# Ce3Np4S12 GGA-PBE relaxed
# Crystal system ... cubic
# Size of the total moment ... 32.002 μB per cell
# Uncorrected formation energy ... -1.4636 eV/atom
# Uncorrected energy ... -7.732 eV/atom
data_Ce3Np4S12
_cell_length_a 10.155
_cell_length_b 10.155
_cell_length_c 10.155
_cell_angle_alpha 90.00
_cell_angle_beta 90.00
_cell_angle_gamma 90.00
_symmetry_space_group_name_H-M 'I m -3'
_symmetry_Int_Tables_number 204
_symmetry_space_group_name_Hall '-I 2 2 3'
loop_
_atom_site_label
_atom_site_type_symbol
_atom_site_fract_x
_atom_site_fract_y
_atom_site_fract_z
_atom_site_occupancy
Ce1 Ce 0.000 0.000 0.500 1
Np1 Np 0.250 0.250 0.250 1
S1 S 0.000 0.319 0.208 1



Entry 3:
# LiTcP2 GGA-PBE relaxed
# Crystal system ... orthorhombic
# Size of the total moment ... 0.000 μB per cell
# Uncorrected energy ... -5.560 eV/atom
# Relative energy among the computed polymorphs ... 62.5 kJ/mol of atoms
data_LiTcP2
_cell_length_a 3.323
_cell_length_b 4.093
_cell_length_c 9.522
_cell_angle_alpha 90.00
_cell_angle_beta 90.00
_cell_angle_gamma 90.00
_symmetry_space_group_name_H-M 'C m m 2'
_symmetry_Int_Tables_number 35
loop_
_symmetry_equiv_pos_as_xyz
'x,y,z'
'-x,-y,z'
'-x,y,z'
'x,-y,z'
'x+1/2,y+1/2,z'
'-x+1/2,-y+1/2,z'
'-x+1/2,y+1/2,z'
'x+1/2,-y+1/2,z'
loop_
_atom_site_label
_atom_site_type_symbol
_atom_site_fract_x
_atom_site_fract_y
_atom_site_fract_z
_atom_site_occupancy
Li1 Li 0.000 0.000 0.000 1
Tc1 Tc 0.000 0.500 0.752 1
P1 P 0.000 0.000 0.570 1
P2 P 0.000 0.500 0.205 1



Entry 4:
# Tb6Er2Tl GGA-PBE relaxed
# Crystal system ... monoclinic
# Size of the total moment ... 0.000 μB per cell
# Uncorrected energy ... -4.430 eV/atom
# Relative energy among the computed polymorphs ... 0.0 kJ/mol of atoms
data_Tb6Er2Tl
_cell_length_a 21.001
_cell_length_b 6.194
_cell_length_c 8.962
_cell_angle_alpha 90.00
_cell_angle_beta 109.41
_cell_angle_gamma 90.00
_symmetry_space_group_name_H-M 'C 1 2/c 1'
_symmetry_Int_Tables_number 15
loop_
_symmetry_equiv_pos_as_xyz
'x,y,z'
'-x,-y,-z'
'-x,y,-z+1/2'
'x,-y,z+1/2'
'x+1/2,y+1/2,z'
'-x+1/2,-y+1/2,-z'
'-x+1/2,y+1/2,-z+1/2'
'x+1/2,-y+1/2,z+1/2'
loop_
_atom_site_label
_atom_site_type_symbol
_atom_site_fract_x
_atom_site_fract_y
_atom_site_fract_z
_atom_site_occupancy
Tb1 Tb 0.054 0.172 0.136 1
Tb2 Tb 0.110 0.351 0.529 1
Tb3 Tb 0.163 0.164 0.918 1
Er1 Er 0.223 0.331 0.305 1
Tl1 Tl 0.000 0.334 0.750 1



Entry 5:
# Lu2WC GGA-PBE relaxed
# Crystal system ... trigonal
# Size of the total moment ... 0.919 μB per cell
# Uncorrected energy ... -7.242 eV/atom
data_Lu2WC
_cell_length_a 3.2576
_cell_length_b 3.2576
_cell_length_c 25.4515
_cell_angle_alpha 90.00
_cell_angle_beta 90.00
_cell_angle_gamma 120.00
_symmetry_space_group_name_H-M 'R -3 m'
_symmetry_Int_Tables_number 166
_symmetry_space_group_name_Hall '-R 3 2"'
loop_
_atom_site_label
_atom_site_type_symbol
_atom_site_fract_x
_atom_site_fract_y
_atom_site_fract_z
_atom_site_occupancy
Lu1 Lu 0.0000 0.0000 0.1139 1
W1 W 0.0000 0.0000 0.0000 1
C1 C 0.0000 0.0000 0.5000 1



Entry 6:
# CeReP2 GGA-PBE relaxed
# Crystal system ... trigonal
# Size of the total moment ... 0.000 μB per cell
# Uncorrected energy ... -7.064 eV/atom
# Relative energy among the computed polymorphs ... 78.8 kJ/mol of atoms
data_CeReP2
_cell_length_a 2.8913
_cell_length_b 2.8913
_cell_length_c 28.7653
_cell_angle_alpha 90.00
_cell_angle_beta 90.00
_cell_angle_gamma 120.00
_symmetry_space_group_name_H-M 'R -3 m'
_symmetry_Int_Tables_number 166
_symmetry_space_group_name_Hall '-R 3 2"'
loop_
_atom_site_label
_atom_site_type_symbol
_atom_site_fract_x
_atom_site_fract_y
_atom_site_fract_z
_atom_site_occupancy
Ce1 Ce 0.0000 0.0000 0.0000 1
Re1 Re 0.0000 0.0000 0.5000 1
P1 P 0.0000 0.0000 0.4177 1



Entry 7:
# PrLuAl2 GGA-PBE relaxed
# Crystal system ... cubic
# Size of the total moment ... 0.000 μB per cell
# Uncorrected energy ... -4.540 eV/atom
# Relative energy among the computed polymorphs ... 2.1 kJ/mol of atoms
data_PrLuAl2
_cell_length_a 7.294
_cell_length_b 7.294
_cell_length_c 7.294
_cell_angle_alpha 90.00
_cell_angle_beta 90.00
_cell_angle_gamma 90.00
_symmetry_space_group_name_H-M 'F m -3 m'
_symmetry_Int_Tables_number 225
_symmetry_space_group_name_Hall '-F 4 2 3'
loop_
_atom_site_label
_atom_site_type_symbol
_atom_site_fract_x
_atom_site_fract_y
_atom_site_fract_z
_atom_site_occupancy
Pr1 Pr 0.000 0.000 0.000 1
Lu1 Lu 0.000 0.000 0.500 1
Al1 Al 0.250 0.250 0.250 1



Entry 8:
# ScCu2C2 GGA-PBE relaxed
# Crystal system ... tetragonal
# Size of the total moment ... 0.000 μB per cell
# Uncorrected energy ... -6.425 eV/atom
# Relative energy among the computed polymorphs ... 0.0 kJ/mol of atoms
data_ScCu2C2
_cell_length_a 3.424
_cell_length_b 3.424
_cell_length_c 8.598
_cell_angle_alpha 90.00
_cell_angle_beta 90.00
_cell_angle_gamma 90.00
_symmetry_space_group_name_H-M 'I 4/m m m'
_symmetry_Int_Tables_number 139
_symmetry_space_group_name_Hall '-I 4 2'
loop_
_atom_site_label
_atom_site_type_symbol
_atom_site_fract_x
_atom_site_fract_y
_atom_site_fract_z
_atom_site_occupancy
Sc1 Sc 0.000 0.000 0.000 1
Cu1 Cu 0.000 0.500 0.250 1
C1 C 0.000 0.000 0.414 1



Entry 9:
# Sc3Cd2Hg7 GGA-PBE relaxed
# Crystal system ... monoclinic
# Size of the total moment ... 0.000 μB per cell
# Uncorrected energy ... -2.083 eV/atom
data_Sc3Cd2Hg7
_cell_length_a 5.837
_cell_length_b 3.315
_cell_length_c 14.326
_cell_angle_alpha 90.00
_cell_angle_beta 97.07
_cell_angle_gamma 90.00
_symmetry_space_group_name_H-M 'P 1 2/m 1'
_symmetry_Int_Tables_number 10
loop_
_symmetry_equiv_pos_as_xyz
'x,y,z'
'-x,-y,-z'
'-x,y,-z'
'x,-y,z'
loop_
_atom_site_label
_atom_site_type_symbol
_atom_site_fract_x
_atom_site_fract_y
_atom_site_fract_z
_atom_site_occupancy
Sc1 Sc 0.000 0.000 0.000 1
Sc2 Sc 0.048 0.500 0.661 1
Cd1 Cd 0.436 0.000 0.324 1
Hg1 Hg 0.209 0.500 0.163 1
Hg2 Hg 0.245 0.000 0.502 1
Hg3 Hg 0.262 0.000 0.827 1
Hg4 Hg 0.500 0.500 0.000 1



Entry 10:
# Ca3SbAs2Pt9 GGA-PBE relaxed
# Crystal system ... trigonal
# Size of the total moment ... 0.000 μB per cell
# Uncorrected formation energy ... -0.4674 eV/atom
# Uncorrected energy ... -5.387 eV/atom
data_Ca3SbAs2Pt9
_cell_length_a 6.5978
_cell_length_b 6.5978
_cell_length_c 8.9965
_cell_angle_alpha 90.00
_cell_angle_beta 90.00
_cell_angle_gamma 120.00
_symmetry_space_group_name_H-M 'P -3 m 1'
_symmetry_Int_Tables_number 164
_symmetry_space_group_name_Hall '-P 3 2"'
loop_
_atom_site_label
_atom_site_type_symbol
_atom_site_fract_x
_atom_site_fract_y
_atom_site_fract_z
_atom_site_occupancy
Ca1 Ca 0.0000 0.0000 0.0000 1
Ca2 Ca 0.3333 0.6667 0.7257 1
Sb1 Sb 0.0000 0.0000 0.5000 1
As1 As 0.3333 0.6667 0.1842 1
Pt1 Pt 0.0000 0.5000 0.0000 1
Pt2 Pt 0.1397 0.2794 0.2684 1



Entry 11:
# TaNb2H6 GGA-PBE relaxed
# Crystal system ... orthorhombic
# Size of the total moment ... 0.000 μB per cell
# Uncorrected energy ... -6.011 eV/atom
data_TaNb2H6
_cell_length_a 3.211
_cell_length_b 4.571
_cell_length_c 9.600
_cell_angle_alpha 90.00
_cell_angle_beta 90.00
_cell_angle_gamma 90.00
_symmetry_space_group_name_H-M 'I m m m'
_symmetry_Int_Tables_number 71
_symmetry_space_group_name_Hall '-I 2 2'
loop_
_atom_site_label
_atom_site_type_symbol
_atom_site_fract_x
_atom_site_fract_y
_atom_site_fract_z
_atom_site_occupancy
Ta1 Ta 0.000 0.000 0.000 1
Nb1 Nb 0.000 0.000 0.334 1
H1 H 0.000 0.248 0.166 1
H2 H 0.000 0.255 0.500 1



Entry 12:
# TcTePRh2 GGA-PBE relaxed
# Crystal system ... tetragonal
# Size of the total moment ... 0.000 μB per cell
# Uncorrected formation energy ... 0.2002 eV/atom
# Uncorrected energy ... -6.524 eV/atom
data_TcTePRh2
_cell_length_a 4.453
_cell_length_b 4.453
_cell_length_c 4.476
_cell_angle_alpha 90.00
_cell_angle_beta 90.00
_cell_angle_gamma 90.00
_symmetry_space_group_name_H-M 'P 4/m m m'
_symmetry_Int_Tables_number 123
_symmetry_space_group_name_Hall '-P 4 2'
loop_
_atom_site_label
_atom_site_type_symbol
_atom_site_fract_x
_atom_site_fract_y
_atom_site_fract_z
_atom_site_occupancy
Tc1 Tc 0.000 0.000 0.000 1
Te1 Te 0.500 0.500 0.000 1
P1 P 0.000 0.000 0.500 1
Rh1 Rh 0.000 0.500 0.500 1